[1]
DFT (PBE) results for crystalline CdTePCl2 at its relaxed geometry.

a = 5.3640 Å, b = 5.3640 Å, c = 5.1372 Å
α = 90.00°, β = 90.00°, γ = 90.00°
Space group P4/mmm (No. 123)
Asymmetric unit:
Cd 0.0000 0.0000 0.0000
Te 0.5000 0.5000 0.5000
P 0.5000 0.5000 0.0000
Cl 0.0000 0.5000 0.5000

calculated total energy	-11.895	eV per formula unit
distance to the lowest polymorph of the same formula	0.07	eV/f.u.
ρ	3.84	g cm⁻³
uncorrected formation energy	0.253	eV per atom


[2]
DFT (PBE) results for crystalline CdTePCl2 at its relaxed geometry.

a = 4.9580 Å, b = 4.9580 Å, c = 5.6216 Å
α = 90.00°, β = 90.00°, γ = 90.00°
Space group P4/mmm (No. 123)
Asymmetric unit:
Cd 0.0000 0.0000 0.0000
Te 0.5000 0.5000 0.5000
P 0.0000 0.0000 0.5000
Cl 0.0000 0.5000 0.0000

calculated total energy	-11.963	eV per formula unit
distance to the lowest polymorph of the same formula	0.00	eV/f.u.
ρ	4.11	g cm⁻³
uncorrected formation energy	0.239	eV per atom


[3]
DFT (PBE) results for crystalline TiCdPCl2 at its relaxed geometry.

a = 4.6697 Å, b = 4.6697 Å, c = 5.0998 Å
α = 90.00°, β = 90.00°, γ = 90.00°
Space group P4/mmm (No. 123)
Asymmetric unit:
Ti 0.0000 0.0000 0.0000
Cd 0.5000 0.5000 0.5000
P 0.0000 0.0000 0.5000
Cl 0.0000 0.5000 0.0000

calculated total energy	-20.677	eV per formula unit
distance to the lowest polymorph of the same formula	0.00	eV/f.u.
ρ	3.91	g cm⁻³
uncorrected formation energy	-0.553	eV per atom


[4]
DFT (PBE) results for crystalline TiCdPCl2 at its relaxed geometry.

a = 4.9029 Å, b = 4.9029 Å, c = 5.3764 Å
α = 90.00°, β = 90.00°, γ = 90.00°
Space group P4/mmm (No. 123)
Asymmetric unit:
Ti 0.0000 0.0000 0.0000
Cd 0.5000 0.5000 0.5000
P 0.5000 0.5000 0.0000
Cl 0.0000 0.5000 0.5000

calculated total energy	-15.798	eV per formula unit
distance to the lowest polymorph of the same formula	4.88	eV/f.u.
ρ	3.37	g cm⁻³
uncorrected formation energy	0.423	eV per atom


[5]
DFT (PBE) results for crystalline TlCdP2Cl at its relaxed geometry.

a = 5.0108 Å, b = 5.0108 Å, c = 5.7667 Å
α = 90.00°, β = 90.00°, γ = 90.00°
Space group P4/mmm (No. 123)
Asymmetric unit:
Tl 0.0000 0.0000 0.0000
Cd 0.5000 0.5000 0.5000
P 0.0000 0.5000 0.5000
Cl 0.5000 0.5000 0.0000

calculated total energy	-13.630	eV per formula unit
distance to the lowest polymorph of the same formula	0.00	eV/f.u.
ρ	4.75	g cm⁻³
uncorrected formation energy	0.464	eV per atom


[6]
DFT (PBE) results for crystalline TlCdP2Cl at its relaxed geometry.

a = 5.2079 Å, b = 5.2079 Å, c = 5.3992 Å
α = 90.00°, β = 90.00°, γ = 90.00°
Space group P4/mmm (No. 123)
Asymmetric unit:
Tl 0.0000 0.0000 0.0000
Cd 0.5000 0.5000 0.5000
P 0.0000 0.5000 0.0000
Cl 0.0000 0.0000 0.5000

calculated total energy	-11.908	eV per formula unit
distance to the lowest polymorph of the same formula	1.72	eV/f.u.
ρ	4.70	g cm⁻³
uncorrected formation energy	0.808	eV per atom


[7]
DFT (PBE) results for crystalline VCdPCl2 at its relaxed geometry.

a = 5.0310 Å, b = 5.0310 Å, c = 5.2655 Å
α = 90.00°, β = 90.00°, γ = 90.00°
Space group P4/mmm (No. 123)
Asymmetric unit:
V 0.0000 0.0000 0.0000
Cd 0.5000 0.5000 0.5000
P 0.5000 0.5000 0.0000
Cl 0.0000 0.5000 0.5000

calculated total energy	-16.511	eV per formula unit
distance to the lowest polymorph of the same formula	3.72	eV/f.u.
ρ	3.30	g cm⁻³
uncorrected formation energy	0.525	eV per atom


[8]
DFT (PBE) results for crystalline VCdP2Cl at its relaxed geometry.

a = 4.8965 Å, b = 4.8965 Å, c = 5.0803 Å
α = 90.00°, β = 90.00°, γ = 90.00°
Space group P4/mmm (No. 123)
Asymmetric unit:
V 0.0000 0.0000 0.0000
Cd 0.5000 0.5000 0.5000
P 0.0000 0.5000 0.5000
Cl 0.5000 0.5000 0.0000

calculated total energy	-16.350	eV per formula unit
distance to the lowest polymorph of the same formula	6.15	eV/f.u.
ρ	3.55	g cm⁻³
uncorrected formation energy	1.270	eV per atom


[9]
DFT (PBE) results for crystalline VCdPCl2 at its relaxed geometry.

a = 4.6258 Å, b = 4.6258 Å, c = 4.9208 Å
α = 90.00°, β = 90.00°, γ = 90.00°
Space group P4/mmm (No. 123)
Asymmetric unit:
V 0.0000 0.0000 0.0000
Cd 0.5000 0.5000 0.5000
P 0.0000 0.0000 0.5000
Cl 0.0000 0.5000 0.0000

calculated total energy	-20.227	eV per formula unit
distance to the lowest polymorph of the same formula	0.00	eV/f.u.
ρ	4.18	g cm⁻³
uncorrected formation energy	-0.218	eV per atom


[10]
DFT (PBE) results for crystalline VCdP2Cl at its relaxed geometry.

a = 4.5614 Å, b = 4.5614 Å, c = 4.9419 Å
α = 90.00°, β = 90.00°, γ = 90.00°
Space group P4/mmm (No. 123)
Asymmetric unit:
V 0.0000 0.0000 0.0000
Cd 0.5000 0.5000 0.5000
P 0.0000 0.5000 0.0000
Cl 0.0000 0.0000 0.5000

calculated total energy	-22.497	eV per formula unit
distance to the lowest polymorph of the same formula	0.00	eV/f.u.
ρ	4.21	g cm⁻³
uncorrected formation energy	0.041	eV per atom


[11]
DFT (PBE) results for crystalline VCdP2Cl at its relaxed geometry.

a = 4.6173 Å, b = 4.6173 Å, c = 5.0133 Å
α = 90.00°, β = 90.00°, γ = 90.00°
Space group P4/mmm (No. 123)
Asymmetric unit:
V 0.0000 0.0000 0.0000
Cd 0.5000 0.5000 0.0000
P 0.0000 0.5000 0.5000
Cl 0.5000 0.5000 0.5000

calculated total energy	-15.579	eV per formula unit
distance to the lowest polymorph of the same formula	6.92	eV/f.u.
ρ	4.05	g cm⁻³
uncorrected formation energy	1.424	eV per atom


[12]
DFT (PBE) results for crystalline YCdP2Cl at its relaxed geometry.

a = 4.9056 Å, b = 4.9056 Å, c = 5.1114 Å
α = 90.00°, β = 90.00°, γ = 90.00°
Space group P4/mmm (No. 123)
Asymmetric unit:
Y 0.0000 0.0000 0.0000
Cd 0.5000 0.5000 0.5000
P 0.0000 0.5000 0.5000
Cl 0.5000 0.5000 0.0000

calculated total energy	-19.900	eV per formula unit
distance to the lowest polymorph of the same formula	0.42	eV/f.u.
ρ	4.03	g cm⁻³
uncorrected formation energy	0.029	eV per atom


[13]
DFT (PBE) results for crystalline YCdPCl2 at its relaxed geometry.

a = 4.8935 Å, b = 4.8935 Å, c = 5.4562 Å
α = 90.00°, β = 90.00°, γ = 90.00°
Space group P4/mmm (No. 123)
Asymmetric unit:
Y 0.0000 0.0000 0.0000
Cd 0.5000 0.5000 0.5000
P 0.5000 0.5000 0.0000
Cl 0.0000 0.5000 0.5000

calculated total energy	-18.579	eV per formula unit
distance to the lowest polymorph of the same formula	2.17	eV/f.u.
ρ	3.85	g cm⁻³
uncorrected formation energy	-0.419	eV per atom


[14]
DFT (PBE) results for crystalline YCdPCl2 at its relaxed geometry.

a = 5.1438 Å, b = 5.1438 Å, c = 5.7103 Å
α = 90.00°, β = 90.00°, γ = 90.00°
Space group P4/mmm (No. 123)
Asymmetric unit:
Y 0.0000 0.0000 0.0000
Cd 0.5000 0.5000 0.5000
P 0.0000 0.0000 0.5000
Cl 0.0000 0.5000 0.0000

calculated total energy	-20.752	eV per formula unit
distance to the lowest polymorph of the same formula	0.00	eV/f.u.
ρ	3.33	g cm⁻³
uncorrected formation energy	-0.854	eV per atom


[15]
DFT (PBE) results for crystalline YCdP2Cl at its relaxed geometry.

a = 4.8428 Å, b = 4.8428 Å, c = 4.9531 Å
α = 90.00°, β = 90.00°, γ = 90.00°
Space group P4/mmm (No. 123)
Asymmetric unit:
Y 0.0000 0.0000 0.0000
Cd 0.5000 0.5000 0.0000
P 0.0000 0.5000 0.5000
Cl 0.5000 0.5000 0.5000

calculated total energy	-17.967	eV per formula unit
distance to the lowest polymorph of the same formula	2.36	eV/f.u.
ρ	4.27	g cm⁻³
uncorrected formation energy	0.416	eV per atom


[16]
DFT (PBE) results for crystalline YCdP2Cl at its relaxed geometry.

a = 5.3977 Å, b = 5.3977 Å, c = 5.1432 Å
α = 90.00°, β = 90.00°, γ = 90.00°
Space group P4/mmm (No. 123)
Asymmetric unit:
Y 0.0000 0.0000 0.0000
Cd 0.5000 0.5000 0.5000
P 0.0000 0.5000 0.0000
Cl 0.0000 0.0000 0.5000

calculated total energy	-20.324	eV per formula unit
distance to the lowest polymorph of the same formula	0.00	eV/f.u.
ρ	3.31	g cm⁻³
uncorrected formation energy	-0.056	eV per atom


[17]
DFT (PBE) results for crystalline YCdPCl2 at its relaxed geometry.

a = 4.6471 Å, b = 4.6471 Å, c = 11.7326 Å
α = 90.00°, β = 90.00°, γ = 90.00°
Space group P4/mmm (No. 123)
Asymmetric unit:
Y 0.0000 0.0000 0.0000
Cd 0.0000 0.0000 0.5000
P 0.5000 0.5000 0.0000
Cl 0.0000 0.5000 0.5000

calculated total energy	-17.119	eV per formula unit
distance to the lowest polymorph of the same formula	3.63	eV/f.u.
ρ	1.99	g cm⁻³
uncorrected formation energy	-0.127	eV per atom


[18]
DFT (PBE) results for crystalline ZnCdPCl2 at its relaxed geometry.

a = 5.1585 Å, b = 5.1585 Å, c = 5.3248 Å
α = 90.00°, β = 90.00°, γ = 90.00°
Space group P4/mmm (No. 123)
Asymmetric unit:
Zn 0.0000 0.0000 0.0000
Cd 0.5000 0.5000 0.5000
P 0.5000 0.5000 0.0000
Cl 0.0000 0.5000 0.5000

calculated total energy	-10.185	eV per formula unit
distance to the lowest polymorph of the same formula	1.13	eV/f.u.
ρ	3.28	g cm⁻³
uncorrected formation energy	0.221	eV per atom


[19]
DFT (PBE) results for crystalline ZnCdPCl at its relaxed geometry.

a = 7.0137 Å, b = 4.0496 Å, c = 8.2158 Å
α = 90.00°, β = 106.87°, γ = 90.00°
Space group Cm (No. 8)
Asymmetric unit:
Zn 0.0000 0.0000 0.0000
Cd 0.4445 0.0000 0.3255
P 0.3369 0.0000 0.0103
Cl 0.1702 0.0000 0.4999

calculated total energy	-11.233	eV per formula unit
ρ	3.63	g cm⁻³
uncorrected formation energy	-0.447	eV per atom


[20]
DFT (PBE) results for crystalline ZnCdPCl2 at its relaxed geometry.

a = 4.7870 Å, b = 4.7870 Å, c = 5.0925 Å
α = 90.00°, β = 90.00°, γ = 90.00°
Space group P4/mmm (No. 123)
Asymmetric unit:
Zn 0.0000 0.0000 0.0000
Cd 0.5000 0.5000 0.5000
P 0.0000 0.0000 0.5000
Cl 0.0000 0.5000 0.0000

calculated total energy	-11.319	eV per formula unit
distance to the lowest polymorph of the same formula	0.00	eV/f.u.
ρ	3.98	g cm⁻³
uncorrected formation energy	-0.005	eV per atom